Compound: ReCl5
Source: the Open Quantum Materials Database
Functional: PBE
Structure: relaxed

## Properties
- size of the total moment (μB per formula unit) = 2.0
- uncorrected energy (eV per atom) = -4.134

Cell: 7.3331 7.3331 7.9504 Å, 90.00 90.00 120.00°
Space group P6_3/mmc (No. 194)
Unique sites:
Re (0.3333, 0.6667, 0.2500) x2
Cl (0.1591, 0.3181, 0.2500) x6
Cl (0.3333, 0.6667, 0.5414) x4